InOsO2 at its PBEsol-relaxed geometry. Source: Alexandria via LeMat-Bulk, functional meta-GGA SCAN.

```
InOsO2
1.0
-0.9979 2.7172 -0.9015
-2.8497 0.3181 -0.9847
-3.2235 2.3007 5.4049
Os O In
1 2 1
direct
0.0000 0.0000 0.0000
0.8966 0.8966 0.3102
0.1034 0.1034 0.6898
0.5000 0.5000 0.5000
```

- mass density (Mg/m³) = 10.87
- energy relative to the elements, uncorrected (kJ/mol of formula units) = -238
- electronic total energy (eV for the cell shown) = -120.20